1.
# GGA-PBE AcGa2Ge, optimized geometry
data_AcGa2Ge
_chemical_formula_sum 'Ac1 Ga2 Ge1'
_cell_length_a 5.185
_cell_length_b 5.185
_cell_length_c 5.185
_cell_angle_alpha 60.00
_cell_angle_beta 60.00
_cell_angle_gamma 60.00
_space_group_name_H-M_alt 'P 1'
_space_group_IT_number 1
loop_
_space_group_symop_operation_xyz
'x,y,z'
loop_
_atom_site_label
_atom_site_fract_x
_atom_site_fract_y
_atom_site_fract_z
_atom_site_occupancy
Ac1 0.000 0.000 0.000 1
Ga1 0.750 0.750 0.750 1
Ga2 0.250 0.250 0.250 1
Ge1 0.500 0.500 0.500 1
# * distance to the lowest polymorph of the same formula: 169 meV per atom
# * space group: Fm-3m (225)
# * N(E_F): 2.50 states/eV/cell
# * ΔH_f (0 K): -0.197 eV/atom

=====

2.
# GGA-PBE H2AuN, optimized geometry
data_H2AuN
_chemical_formula_sum 'H2 Au1 N1'
_cell_length_a 3.375
_cell_length_b 3.376
_cell_length_c 4.149
_cell_angle_alpha 89.87
_cell_angle_beta 90.09
_cell_angle_gamma 78.49
_space_group_name_H-M_alt 'P 1'
_space_group_IT_number 1
loop_
_space_group_symop_operation_xyz
'x,y,z'
loop_
_atom_site_label
_atom_site_fract_x
_atom_site_fract_y
_atom_site_fract_z
_atom_site_occupancy
H1 0.222 0.937 0.038 1
H2 0.600 0.561 0.039 1
N1 0.289 0.626 0.038 1
Au1 0.208 0.544 0.538 1
# * distance to the lowest polymorph of the same formula: 0 meV per atom
# * space group: P1 (1)

=====

3.
# GGA-PBE Co2PdPt, optimized geometry
data_Co2PdPt
_chemical_formula_sum 'Co4 Pd2 Pt2'
_cell_length_a 2.690
_cell_length_b 2.690
_cell_length_c 14.801
_cell_angle_alpha 90.00
_cell_angle_beta 90.00
_cell_angle_gamma 90.00
_space_group_name_H-M_alt 'P 1'
_space_group_IT_number 1
loop_
_space_group_symop_operation_xyz
'x,y,z'
loop_
_atom_site_label
_atom_site_fract_x
_atom_site_fract_y
_atom_site_fract_z
_atom_site_occupancy
Co1 0.249 0.250 0.695 1
Co2 0.250 0.250 0.948 1
Co3 0.750 0.750 0.052 1
Co4 0.751 0.750 0.305 1
Pd1 0.750 0.750 0.572 1
Pd2 0.250 0.250 0.428 1
Pt1 0.250 0.250 0.180 1
Pt2 0.750 0.750 0.820 1
# * space group: P4/nmm (129)
# * N(E_F): 8.19 states/eV/cell
# * ΔH_f (0 K): -0.043 eV/atom

=====

4.
# GGA-PBE Na2SrPI, optimized geometry
data_Na2SrPI
_chemical_formula_sum 'Na2 Sr1 P1 I1'
_cell_length_a 5.405
_cell_length_b 5.405
_cell_length_c 5.921
_cell_angle_alpha 90.00
_cell_angle_beta 90.00
_cell_angle_gamma 90.00
_space_group_name_H-M_alt 'P 1'
_space_group_IT_number 1
loop_
_space_group_symop_operation_xyz
'x,y,z'
loop_
_atom_site_label
_atom_site_fract_x
_atom_site_fract_y
_atom_site_fract_z
_atom_site_occupancy
Sr1 0.000 0.000 0.500 1
Na1 0.000 0.500 0.000 1
Na2 0.500 0.000 0.000 1
P1 0.000 0.000 0.000 1
I1 0.500 0.500 0.500 1
# * raw formation energy: -0.830 eV/atom
# * space group: P4/mmm (123)

=====

5.
# GGA-PBE Pm12Sm6Ho, optimized geometry
data_Pm12Sm6Ho
_chemical_formula_sum 'Pm12 Sm6 Ho1'
_cell_length_a 8.828
_cell_length_b 8.828
_cell_length_c 8.828
_cell_angle_alpha 97.62
_cell_angle_beta 97.62
_cell_angle_gamma 97.62
_space_group_name_H-M_alt 'P 1'
_space_group_IT_number 1
loop_
_space_group_symop_operation_xyz
'x,y,z'
loop_
_atom_site_label
_atom_site_fract_x
_atom_site_fract_y
_atom_site_fract_z
_atom_site_occupancy
Sm1 0.138 0.406 0.138 1
Sm2 0.862 0.594 0.862 1
Sm3 0.594 0.862 0.862 1
Sm4 0.138 0.138 0.406 1
Sm5 0.862 0.862 0.594 1
Sm6 0.406 0.138 0.138 1
Pm1 0.737 0.000 0.263 1
Pm2 0.169 0.584 0.584 1
Pm3 0.416 0.831 0.416 1
Pm4 0.000 0.737 0.263 1
Pm5 0.737 0.263 0.000 1
Pm6 0.584 0.169 0.584 1
Pm7 0.263 0.737 0.000 1
Pm8 0.831 0.416 0.416 1
Pm9 0.263 0.000 0.737 1
Pm10 0.416 0.416 0.831 1
Pm11 0.000 0.263 0.737 1
Pm12 0.584 0.584 0.169 1
Ho1 0.000 0.000 0.000 1
# * distance to the lowest polymorph of the same formula: 0 meV per atom
# * space group: R-3m (166)
# * N(E_F): 26.63 states/eV/cell
# * ΔH_f (0 K): 0.123 eV/atom

=====

6.
# GGA-PBE CaLa2BC2, optimized geometry
data_CaLa2BC2
_chemical_formula_sum 'Ca2 La4 B2 C4'
_cell_length_a 3.826
_cell_length_b 5.805
_cell_length_c 10.715
_cell_angle_alpha 90.00
_cell_angle_beta 90.00
_cell_angle_gamma 90.00
_space_group_name_H-M_alt 'P 1'
_space_group_IT_number 1
loop_
_space_group_symop_operation_xyz
'x,y,z'
loop_
_atom_site_label
_atom_site_fract_x
_atom_site_fract_y
_atom_site_fract_z
_atom_site_occupancy
La1 0.500 0.960 0.201 1
La2 0.000 0.460 0.299 1
La3 0.500 0.040 0.799 1
La4 0.000 0.540 0.701 1
Ca1 0.000 0.000 0.500 1
Ca2 0.500 0.500 0.000 1
C1 0.000 0.806 0.910 1
C2 0.000 0.194 0.090 1
C3 0.500 0.306 0.590 1
C4 0.500 0.694 0.410 1
B1 0.000 0.000 0.000 1
B2 0.500 0.500 0.500 1
# * space group: Pnnm (58)
# * N(E_F): 10.11 states/eV/cell
# * ΔH_f (0 K): -0.082 eV/atom

=====

7.
# GGA-PBE Ta2OsRu, optimized geometry
data_Ta2OsRu
_chemical_formula_sum 'Ta2 Os1 Ru1'
_cell_length_a 2.839
_cell_length_b 2.839
_cell_length_c 8.489
_cell_angle_alpha 90.00
_cell_angle_beta 90.00
_cell_angle_gamma 109.43
_space_group_name_H-M_alt 'P 1'
_space_group_IT_number 1
loop_
_space_group_symop_operation_xyz
'x,y,z'
loop_
_atom_site_label
_atom_site_fract_x
_atom_site_fract_y
_atom_site_fract_z
_atom_site_occupancy
Ta1 0.000 0.000 0.998 1
Ta2 0.000 0.000 0.502 1
Ru1 0.500 0.500 0.750 1
Os1 0.500 0.500 0.250 1
# * distance to the lowest polymorph of the same formula: 217 meV per atom
# * space group: Cmmm (65)
# * N(E_F): 4.49 states/eV/cell
# * ΔH_f (0 K): -0.102 eV/atom

=====

8.
# GGA-PBE Ti3FeP, optimized geometry
data_Ti3FeP
_chemical_formula_sum 'Ti3 Fe1 P1'
_cell_length_a 4.412
_cell_length_b 4.412
_cell_length_c 4.412
_cell_angle_alpha 90.00
_cell_angle_beta 90.00
_cell_angle_gamma 90.00
_space_group_name_H-M_alt 'P 1'
_space_group_IT_number 1
loop_
_space_group_symop_operation_xyz
'x,y,z'
loop_
_atom_site_label
_atom_site_fract_x
_atom_site_fract_y
_atom_site_fract_z
_atom_site_occupancy
Ti1 0.500 0.000 0.000 1
Ti2 0.000 0.000 0.500 1
Ti3 0.000 0.500 0.000 1
P1 0.500 0.500 0.500 1
Fe1 0.000 0.000 0.000 1
# * distance to the lowest polymorph of the same formula: 102 meV per atom
# * space group: Pm-3m (221)
# * N(E_F): 4.31 states/eV/cell
# * ΔH_f (0 K): 0.154 eV/atom

=====

9.
# GGA-PBE TaTeRu, optimized geometry
data_TaTeRu
_chemical_formula_sum 'Ta2 Te2 Ru2'
_cell_length_a 4.419
_cell_length_b 3.149
_cell_length_c 9.929
_cell_angle_alpha 90.00
_cell_angle_beta 94.20
_cell_angle_gamma 90.00
_space_group_name_H-M_alt 'P 1'
_space_group_IT_number 1
loop_
_space_group_symop_operation_xyz
'x,y,z'
loop_
_atom_site_label
_atom_site_fract_x
_atom_site_fract_y
_atom_site_fract_z
_atom_site_occupancy
Ta1 0.153 0.000 0.988 1
Ta2 0.626 0.000 0.727 1
Te1 0.480 0.500 0.196 1
Te2 0.087 0.000 0.525 1
Ru1 0.675 0.500 0.942 1
Ru2 0.135 0.500 0.761 1
# * distance to the lowest polymorph of the same formula: 7 meV per atom
# * raw formation energy: -0.228 eV/atom
# * space group: Pm (6)
# * N(E_F): 5.31 states/eV/cell

=====

10.
# GGA-PBE La2PrSm2Tm2, optimized geometry
data_La2PrSm2Tm2
_chemical_formula_sum 'La2 Pr1 Sm2 Tm2'
_cell_length_a 5.139
_cell_length_b 6.294
_cell_length_c 8.150
_cell_angle_alpha 97.43
_cell_angle_beta 90.00
_cell_angle_gamma 114.09
_space_group_name_H-M_alt 'P 1'
_space_group_IT_number 1
loop_
_space_group_symop_operation_xyz
'x,y,z'
loop_
_atom_site_label
_atom_site_fract_x
_atom_site_fract_y
_atom_site_fract_z
_atom_site_occupancy
La1 0.856 0.712 0.571 1
La2 0.144 0.288 0.429 1
Sm1 0.571 0.142 0.719 1
Sm2 0.429 0.858 0.281 1
Pr1 0.000 0.000 0.000 1
Tm1 0.284 0.568 0.862 1
Tm2 0.716 0.432 0.138 1
# * space group: C2/m (12)
# * N(E_F): 11.53 states/eV/cell
# * ΔH_f (0 K): 0.028 eV/atom

=====

11.
# GGA-PBE LaDy4Er6, optimized geometry
data_LaDy4Er6
_chemical_formula_sum 'La1 Dy4 Er6'
_cell_length_a 7.748
_cell_length_b 7.748
_cell_length_c 8.408
_cell_angle_alpha 117.44
_cell_angle_beta 117.44
_cell_angle_gamma 90.00
_space_group_name_H-M_alt 'P 1'
_space_group_IT_number 1
loop_
_space_group_symop_operation_xyz
'x,y,z'
loop_
_atom_site_label
_atom_site_fract_x
_atom_site_fract_y
_atom_site_fract_z
_atom_site_occupancy
Er1 0.000 0.500 0.000 1
Er2 0.571 0.571 0.626 1
Er3 0.945 0.429 0.374 1
Er4 0.500 0.000 0.000 1
Er5 0.055 0.055 0.626 1
Er6 0.429 0.945 0.374 1
Dy1 0.239 0.239 0.148 1
Dy2 0.908 0.908 0.148 1
Dy3 0.092 0.761 0.852 1
Dy4 0.761 0.092 0.852 1
La1 0.500 0.500 0.000 1
# * space group: I-42m (121)
# * N(E_F): 17.72 states/eV/cell
# * ΔH_f (0 K): 0.450 eV/atom

=====

12.
# GGA-PBE ZrTe2MoI, optimized geometry
data_ZrTe2MoI
_chemical_formula_sum 'Zr1 Te2 Mo1 I1'
_cell_length_a 5.624
_cell_length_b 5.624
_cell_length_c 5.685
_cell_angle_alpha 90.00
_cell_angle_beta 90.00
_cell_angle_gamma 90.00
_space_group_name_H-M_alt 'P 1'
_space_group_IT_number 1
loop_
_space_group_symop_operation_xyz
'x,y,z'
loop_
_atom_site_label
_atom_site_fract_x
_atom_site_fract_y
_atom_site_fract_z
_atom_site_occupancy
Zr1 0.000 0.000 0.000 1
I1 0.000 0.000 0.500 1
Te1 0.500 0.000 0.000 1
Te2 0.000 0.500 0.000 1
Mo1 0.500 0.500 0.500 1
# * distance to the lowest polymorph of the same formula: 0 meV per atom
# * raw formation energy: 0.580 eV/atom
# * space group: P4/mmm (123)
# * N(E_F): 1.85 states/eV/cell